1.
DFT (PBE-GGA) results for a relaxed NdY2ZrP4 crystal.

abc: 6.876 3.974 6.895
angles: 90.00 109.25 90.00
Positions (direct):
Nd1 0.000 0.000 0.000
Y1 0.500 0.000 0.500
Y2 0.500 0.500 0.000
Zr1 0.000 0.500 0.500
P1 0.241 0.000 0.735
P2 0.250 0.500 0.263
P3 0.750 0.500 0.737
P4 0.759 0.000 0.265

Space group: P2/m



2.
DFT (PBE-GGA) results for a relaxed Nd2YZrP4 crystal.

abc: 6.941 4.005 6.960
angles: 90.00 109.25 90.00
Positions (direct):
Nd1 0.000 0.000 0.000
Nd2 0.500 0.500 0.000
Y1 0.000 0.500 0.500
Zr1 0.500 0.000 0.500
P1 0.253 0.000 0.734
P2 0.265 0.500 0.271
P3 0.735 0.500 0.729
P4 0.747 0.000 0.266

Space group: P2/m



3.
DFT (PBE-GGA) results for a relaxed NdZr2P4 crystal.

abc: 6.631 6.631 11.990
angles: 90.00 90.00 146.27
Positions (direct):
Nd1 0.100 0.900 0.750
Nd2 0.900 0.100 0.250
Zr1 0.364 0.636 0.552
Zr2 0.364 0.636 0.948
Zr3 0.636 0.364 0.052
Zr4 0.636 0.364 0.448
P1 0.000 0.000 0.000
P2 0.000 0.000 0.500
P3 0.257 0.743 0.137
P4 0.257 0.743 0.363
P5 0.434 0.566 0.750
P6 0.566 0.434 0.250
P7 0.743 0.257 0.637
P8 0.743 0.257 0.863

Space group: Cmcm



ΔE_f / meV per atom: -1514 -1508 -1036
Density of states at the Fermi level / states/eV per atom: 0.192 0.193 0.485
Theoretical density / Mg/m³: 5.0 5.4 5.1